The following is a PBE calculation of a relaxed structure of AcLaCeHo, from the Alexandria database.

a b c (Å): 5.906 5.906 5.906
angles (deg): 60.00 60.00 60.00
Site moments in Bohr magnetons follow the coordinates.
Atoms (fractional coordinates):
Ac1 0.750 0.750 0.750  0.16
Ho1 0.000 0.000 0.000  0.32
Ce1 0.500 0.500 0.500  1.11
La1 0.250 0.250 0.250  0.27

Properties
symmetry: No. 216
energy of formation from the pure elements: 0.85 eV/f.u.
theoretical density: 7.6 g/cm3
energy: -18.7 eV/cell

=====

The following is a PBE calculation of a relaxed structure of Y2ScRu, from the Alexandria database.

a b c (Å): 4.951 4.951 3.759
angles (deg): 89.97 89.97 89.98
Atoms (fractional coordinates):
Ru1 0.500 0.000 0.500
Sc1 0.000 0.500 0.500
Y1 0.000 0.000 0.000
Y2 0.500 0.500 0.000

Properties
symmetry: No. 123
energy of formation from the pure elements: -0.09 eV/f.u.
theoretical density: 5.8 g/cm3
energy: -28.6 eV/cell

=====

The following is a PBE calculation of a relaxed structure of Pm2CF2, from the Alexandria database.

a b c (Å): 3.607 3.607 8.641
angles (deg): 77.95 77.95 60.00
Atoms (fractional coordinates):
Pm1 0.393 0.393 0.822
Pm2 0.607 0.607 0.178
C1 0.000 0.000 0.000
F1 0.887 0.887 0.339
F2 0.113 0.113 0.661

Properties
symmetry: No. 166
theoretical density: 6.0 g/cm3
E_form (uncorrected): -2.099 eV/atom
energy: -33.0 eV/cell

=====

The following is a PBE calculation of a relaxed structure of TlFe2Tc, from the Alexandria database.

a b c (Å): 4.635 4.635 4.917
angles (deg): 80.75 80.75 36.58
Site moments in Bohr magnetons follow the coordinates.
Atoms (fractional coordinates):
Fe1 0.007 0.007 0.942  2.19
Fe2 0.493 0.493 0.558  2.19
Tc1 0.750 0.750 0.750  -0.22
Tl1 0.250 0.250 0.250  -0.03

Properties
symmetry: No. 12
energy of formation from the pure elements: 2.26 eV/f.u.
theoretical density: 11.1 g/cm3
energy: -27.4 eV/cell